[1]
Density functional theory data (PBE+U) for crystalline BaCoO2 at its relaxed geometry.

Cell and atoms, written as CIF:
```
data_BaCoO2
_chemical_formula_sum 'Ba3 Co3 O6'
_symmetry_space_group_name_H-M 'R -3 m'
_symmetry_Int_Tables_number 166
_symmetry_space_group_name_Hall '-R 3 2"'
_cell_length_a 4.0399
_cell_length_b 4.0399
_cell_length_c 18.4535
_cell_angle_alpha 90.00
_cell_angle_beta 90.00
_cell_angle_gamma 120.00
loop_
_atom_site_label
_atom_site_fract_x
_atom_site_fract_y
_atom_site_fract_z
_atom_site_occupancy
Ba1 0.0000 0.0000 0.0000 1
Co1 0.0000 0.0000 0.5000 1
O1 0.0000 0.0000 0.4055 1
```

spin magnetization: 3.000 μB per formula unit
energy: -69.9 eV/cell

---

[2]
Density functional theory data (PBE+U) for crystalline Ba3Co2O5 at its relaxed geometry.

Cell and atoms, written as CIF:
```
data_Ba3Co2O5
_chemical_formula_sum 'Ba6 Co4 O10'
_symmetry_space_group_name_H-M 'I m m m'
_symmetry_Int_Tables_number 71
_symmetry_space_group_name_Hall '-I 2 2'
_cell_length_a 3.826
_cell_length_b 3.985
_cell_length_c 21.804
_cell_angle_alpha 90.00
_cell_angle_beta 90.00
_cell_angle_gamma 90.00
loop_
_atom_site_label
_atom_site_fract_x
_atom_site_fract_y
_atom_site_fract_z
_atom_site_occupancy
Ba1 0.000 0.000 0.000 1
Ba2 0.000 0.000 0.187 1
Co1 0.000 0.000 0.405 1
O1 0.000 0.000 0.311 1
O2 0.000 0.000 0.500 1
O3 0.000 0.500 0.405 1
```

spin magnetization: 5.441 μB per formula unit
energy: -117.8 eV/cell

---

[3]
Density functional theory data (PBE+U) for crystalline Ba3Co4O9 at its relaxed geometry.

Cell and atoms, written as CIF:
```
data_Ba3Co4O9
_chemical_formula_sum 'Ba9 Co12 O27'
_symmetry_space_group_name_H-M 'R -3 m'
_symmetry_Int_Tables_number 166
_symmetry_space_group_name_Hall '-R 3 2"'
_cell_length_a 5.5613
_cell_length_b 5.5613
_cell_length_c 22.7564
_cell_angle_alpha 90.00
_cell_angle_beta 90.00
_cell_angle_gamma 120.00
loop_
_atom_site_label
_atom_site_fract_x
_atom_site_fract_y
_atom_site_fract_z
_atom_site_occupancy
Ba1 0.0000 0.0000 0.0000 1
Ba2 0.0000 0.0000 0.4249 1
Co1 0.0000 0.0000 0.1626 1
Co2 0.0000 0.0000 0.2822 1
O1 0.0000 0.5000 0.0000 1
O2 0.0110 0.5055 0.4454 1
```

spin magnetization: 11.991 μB per formula unit
energy: -285.3 eV/cell

---

[4]
Density functional theory data (PBE+U) for crystalline Ba4CoOs2O12 at its relaxed geometry.

Cell and atoms, written as CIF:
```
data_Ba4CoOs2O12
_chemical_formula_sum 'Ba12 Co3 Os6 O36'
_symmetry_space_group_name_H-M 'R -3 m'
_symmetry_Int_Tables_number 166
_symmetry_space_group_name_Hall '-R 3 2"'
_cell_length_a 5.6999
_cell_length_b 5.6999
_cell_length_c 27.6151
_cell_angle_alpha 90.00
_cell_angle_beta 90.00
_cell_angle_gamma 120.00
loop_
_atom_site_label
_atom_site_fract_x
_atom_site_fract_y
_atom_site_fract_z
_atom_site_occupancy
Ba1 0.0000 0.0000 0.1309 1
Ba2 0.0000 0.0000 0.2912 1
Co1 0.0000 0.0000 0.0000 1
Os1 0.0000 0.0000 0.4191 1
O1 0.0133 0.5067 0.2896 1
O2 0.0165 0.5083 0.1222 1
```

spin magnetization: 3.332 μB per formula unit
energy: -390.6 eV/cell